Entry from the Alexandria database: crystalline Tb2Ho6Tl at its relaxed geometry (PBE-GGA).

abc: 4.871 10.582 10.582
angles: 90.00 89.98 90.00
Atoms (fractional coordinates):
Tb: 0.000 0.338 0.838
Tb: 0.500 0.838 0.662
Tb: 0.500 0.162 0.338
Tb: 0.000 0.662 0.162
Ho: 0.000 0.000 0.164
Ho: 0.000 0.664 0.500
Ho: 0.000 0.662 0.838
Ho: 0.500 0.162 0.662
Ho: 0.500 0.164 0.000
Ho: 0.500 0.500 0.336
Ho: 0.000 0.000 0.836
Ho: 0.000 0.336 0.500
Ho: 0.000 0.338 0.162
Ho: 0.500 0.838 0.338
Ho: 0.500 0.836 0.000
Ho: 0.500 0.500 0.664
Tl: 0.500 0.500 0.000
Tl: 0.000 0.000 0.500

Space-group type: P4_2/mnm, No. 136
Total DFT energy (no corrections) (eV per atom): -4.381
Energy of formation from the pure elements (meV per atom): -37

=====

Entry from the Alexandria database: crystalline EuLuMgCd at its relaxed geometry (PBE-GGA).

abc: 5.404 5.404 5.404
angles: 60.00 60.00 60.00
Site moments in Bohr magnetons follow the coordinates.
Atoms (fractional coordinates):
Eu: 0.750 0.750 0.750  -6.84
Mg: 0.000 0.000 0.000  0.00
Lu: 0.250 0.250 0.250  -0.01
Cd: 0.500 0.500 0.500  0.00

Space-group type: F-43m, No. 216
Total DFT energy (no corrections) (eV per atom): -4.479
Energy of formation from the pure elements (meV per atom): -153

=====

Entry from the Alexandria database: crystalline LaZn12Au6 at its relaxed geometry (PBE-GGA).

abc: 7.313 7.313 7.313
angles: 104.44 104.44 104.44
Atoms (fractional coordinates):
La: 0.000 0.000 0.000
Zn: 0.891 0.109 0.500
Zn: 0.859 0.608 0.608
Zn: 0.608 0.608 0.859
Zn: 0.392 0.141 0.392
Zn: 0.392 0.392 0.141
Zn: 0.141 0.392 0.392
Zn: 0.109 0.500 0.891
Zn: 0.500 0.891 0.109
Zn: 0.109 0.891 0.500
Zn: 0.891 0.500 0.109
Zn: 0.500 0.109 0.891
Zn: 0.608 0.859 0.608
Au: 0.712 0.280 0.280
Au: 0.280 0.280 0.712
Au: 0.280 0.712 0.280
Au: 0.720 0.720 0.288
Au: 0.288 0.720 0.720
Au: 0.720 0.288 0.720

Space-group type: R-3m, No. 166
Total DFT energy (no corrections) (eV per atom): -2.342
Energy of formation from the pure elements (meV per atom): -243

=====

Entry from the Alexandria database: crystalline RbSrPmBr6 at its relaxed geometry (PBE-GGA).

abc: 7.830 7.830 14.643
angles: 90.00 90.00 120.00
Atoms (fractional coordinates):
Rb: 0.000 0.000 0.000
Rb: 0.000 0.000 0.500
Sr: 0.333 0.667 0.250
Sr: 0.667 0.333 0.750
Pm: 0.667 0.333 0.250
Pm: 0.333 0.667 0.750
Br: 0.637 0.620 0.136
Br: 0.983 0.363 0.136
Br: 0.363 0.983 0.636
Br: 0.017 0.637 0.864
Br: 0.380 0.363 0.364
Br: 0.983 0.620 0.364
Br: 0.620 0.983 0.864
Br: 0.637 0.017 0.364
Br: 0.017 0.380 0.636
Br: 0.380 0.017 0.136
Br: 0.620 0.637 0.636
Br: 0.363 0.380 0.864

Space-group type: P-31c, No. 163
Total DFT energy (no corrections) (eV per atom): -3.895
E_form (uncorrected) (meV per atom): -1958

=====

Entry from the Alexandria database: crystalline Li2Zn2Au at its relaxed geometry (PBE-GGA).

abc: 7.043 7.043 2.975
angles: 90.00 90.00 90.00
Atoms (fractional coordinates):
Zn: 0.154 0.654 0.500
Zn: 0.654 0.846 0.500
Zn: 0.846 0.346 0.500
Zn: 0.346 0.154 0.500
Au: 0.000 0.000 0.000
Au: 0.500 0.500 0.000
Li: 0.361 0.861 0.000
Li: 0.861 0.639 0.000
Li: 0.639 0.139 0.000
Li: 0.139 0.361 0.000

Space-group type: P4/mbm, No. 127
Total DFT energy (no corrections) (eV per atom): -2.070
Energy of formation from the pure elements (meV per atom): -139

=====

Entry from the Alexandria database: crystalline CsPaGa2Cl8 at its relaxed geometry (PBE-GGA).

abc: 6.747 7.449 9.770
angles: 89.06 89.84 90.47
Atoms (fractional coordinates):
Cs: 0.000 0.000 0.500
Pa: 0.000 0.000 0.000
Ga: 0.495 0.495 0.701
Ga: 0.505 0.505 0.299
Cl: 0.142 0.794 0.190
Cl: 0.690 0.807 0.999
Cl: 0.851 0.201 0.186
Cl: 0.858 0.206 0.810
Cl: 0.310 0.193 0.001
Cl: 0.149 0.799 0.814
Cl: 0.573 0.726 0.500
Cl: 0.427 0.274 0.500

Space-group type: P-1, No. 2
Total DFT energy (no corrections) (eV per atom): -4.117
E_form (uncorrected) (meV per atom): -1519

=====

Entry from the Alexandria database: crystalline InSbSe at its relaxed geometry (PBE-GGA).

abc: 4.048 4.048 5.676
angles: 90.00 90.00 120.00
Atoms (fractional coordinates):
In: 0.000 0.000 0.981
Sb: 0.667 0.333 0.329
Se: 0.333 0.667 0.689

Space-group type: P3m1, No. 156
Total DFT energy (no corrections) (eV per atom): -3.494
E_form (uncorrected) (meV per atom): -46

=====

Entry from the Alexandria database: crystalline Ba4In2Cl at its relaxed geometry (PBE-GGA).

abc: 6.160 6.160 9.518
angles: 108.88 108.88 90.00
Atoms (fractional coordinates):
Cl: 0.000 0.000 0.000
Ba: 0.806 0.806 0.612
Ba: 0.194 0.194 0.388
Ba: 0.000 0.500 0.000
Ba: 0.500 0.000 0.000
In: 0.605 0.605 0.209
In: 0.395 0.395 0.791

Space-group type: I4/mmm, No. 139
Total DFT energy (no corrections) (eV per atom): -2.847
E_form (uncorrected) (meV per atom): -702